Entry 1:
This record from the Alexandria database describes an optimized crystal structure of PmPr12Sm3. The functional is GGA-PBE.

Total magnetic moment in μB/f.u.: 0.000
N(E_F) in states/eV/f.u.: 25.316
Theoretical density in kg/m3: 6668

Lattice parameters (Å, degrees): 5.224 5.224 20.866 90.00 90.00 90.00
Space group P4/mmm (No. 123)
Asymmetric unit:
Pm (0.000, 0.000, 0.000) x1
Pr (0.000, 0.500, 0.125) x4
Pr (0.000, 0.500, 0.375) x4
Pr (0.500, 0.500, 0.000) x1
Pr (0.500, 0.500, 0.250) x2
Pr (0.500, 0.500, 0.500) x1
Sm (0.000, 0.000, 0.250) x2
Sm (0.000, 0.000, 0.500) x1

---

Entry 2:
This record from the Alexandria database describes an optimized crystal structure of PmPrSm5. The functional is GGA-PBE.

Total magnetic moment in μB/f.u.: 0.000
N(E_F) in states/eV/f.u.: 9.511
Energy relative to the lowest polymorph listed for this composition in meV/atom: 0
Theoretical density in kg/m3: 7137

Lattice parameters (Å, degrees): 12.016 6.941 12.386 90.00 110.80 90.00
Space group C2/c (No. 15)
Asymmetric unit:
Pm (0.250, 0.250, 0.000) x4
Pr (0.000, 0.028, 0.250) x4
Sm (0.000, 0.411, 0.750) x4
Sm (0.077, 0.270, 0.500) x8
Sm (0.219, 0.371, 0.250) x8

---

Entry 3:
This record from the Alexandria database describes an optimized crystal structure of Pm2Pr4Sm3. The functional is GGA-PBE.

Total magnetic moment in μB/f.u.: 0.001
N(E_F) in states/eV/f.u.: 16.859
Energy relative to the lowest polymorph listed for this composition in meV/atom: 0
Theoretical density in kg/m3: 6782

Lattice parameters (Å, degrees): 3.6679 3.6679 27.4157 90.00 90.00 120.00
Space group P3m1 (No. 156)
Asymmetric unit:
Pm (0.0000, 0.0000, 0.0000) x1
Pm (0.0000, 0.0000, 0.2138) x1
Pr (0.0000, 0.0000, 0.3419) x1
Pr (0.0000, 0.0000, 0.5592) x1
Pr (0.3333, 0.6667, 0.6711) x1
Pr (0.3333, 0.6667, 0.8905) x1
Sm (0.0000, 0.0000, 0.7804) x1
Sm (0.3333, 0.6667, 0.1096) x1
Sm (0.3333, 0.6667, 0.4480) x1

---

Entry 4:
This record from the Alexandria database describes an optimized crystal structure of Pm2Pr3Sm6. The functional is GGA-PBE.

Total magnetic moment in μB/f.u.: 0.000
N(E_F) in states/eV/f.u.: 14.826
Energy relative to the lowest polymorph listed for this composition in meV/atom: 101
Theoretical density in kg/m3: 6733

Lattice parameters (Å, degrees): 4.859 4.859 33.741 90.00 90.00 90.00
Space group I4/mmm (No. 139)
Asymmetric unit:
Pm (0.000, 0.000, 0.046) x4
Pr (0.000, 0.000, 0.297) x4
Pr (0.000, 0.000, 0.500) x2
Sm (0.000, 0.000, 0.194) x4
Sm (0.000, 0.500, 0.120) x8

---

no.,formation energy (eV/atom)
1,0.011
2,0.168
3,0.061
4,0.253